1.
# K2TlHg

K2TlHg at its PBEsol-relaxed geometry (SCAN, the Alexandria database).

```
4
Lattice="4.808 0.000 0.000 0.000 5.047 0.000 -2.396 0.000 6.355" Properties=species:S:1:pos:R:3 pbc="T T T"
K 0.000 0.000 0.000
K 0.003 2.523 3.883
Tl 2.405 2.523 1.216
Hg 2.404 0.000 2.689
```

Summary:
Relative energy among the computed polymorphs: 0.000 eV/atom
Energy relative to the elements: -0.233 eV/atom

2.
# YCu2W

YCu2W at its PBEsol-relaxed geometry (SCAN, the Alexandria database).

```
16
Lattice="6.423 0.000 0.000 0.000 6.423 0.000 0.000 0.000 6.423" Properties=species:S:1:pos:R:3 pbc="T T T"
Y 0.000 0.000 0.000
Y 0.000 3.212 3.212
Y 3.212 0.000 3.212
Y 3.212 3.212 0.000
Cu 0.000 0.000 3.212
Cu 0.000 3.212 0.000
Cu 1.606 1.606 4.818
Cu 1.606 4.818 1.606
Cu 3.212 0.000 0.000
Cu 3.212 3.212 3.212
Cu 4.818 1.606 1.606
Cu 4.818 4.818 4.818
W 1.606 1.606 1.606
W 1.606 4.818 4.818
W 4.818 1.606 4.818
W 4.818 4.818 1.606
```

Summary:
Relative energy among the computed polymorphs: 0.274 eV/atom
Energy relative to the elements: 0.715 eV/atom

3.
# Ca2CrH2

Ca2CrH2 at its PBEsol-relaxed geometry (SCAN, the Alexandria database).

```
10
Lattice="7.657 0.000 0.000 0.000 7.657 0.000 0.000 0.000 2.978" Properties=species:S:1:pos:R:3 pbc="T T T"
Ca 1.110 2.718 0.000
Ca 2.718 6.546 0.000
Ca 4.938 1.110 0.000
Ca 6.546 4.938 0.000
Cr 0.000 0.000 0.000
Cr 3.828 3.828 0.000
H 0.787 4.615 1.489
H 3.041 0.787 1.489
H 4.615 6.869 1.489
H 6.869 3.041 1.489
```

Summary:
Raw total energy: -8.5950 eV/atom

4.
# MgSb2Te

MgSb2Te at its PBEsol-relaxed geometry (SCAN, the Alexandria database).

```
12
Lattice="3.256 0.000 0.000 -1.628 2.820 0.000 0.000 0.000 33.868" Properties=species:S:1:pos:R:3 pbc="T T T"
Mg 0.000 0.000 0.000
Mg 0.000 1.880 22.579
Mg 1.628 0.940 11.289
Sb 0.000 0.000 8.846
Sb 0.000 0.000 25.023
Sb 0.000 1.880 13.733
Sb 0.000 1.880 31.424
Sb 1.628 0.940 2.444
Sb 1.628 0.940 20.135
Te 0.000 0.000 16.934
Te 0.000 1.880 5.645
Te 1.628 0.940 28.224
```

Summary:
ΔE_f (raw): 43.2 kJ/mol of formula units
Relative energy among the computed polymorphs: 0.100 eV/atom

5.
# Ca2CuCl

Ca2CuCl at its PBEsol-relaxed geometry (SCAN, the Alexandria database).

```
8
Lattice="4.051 0.000 0.000 0.000 6.055 0.000 0.000 0.000 8.173" Properties=species:S:1:pos:R:3 pbc="T T T"
Ca 0.000 0.000 1.928
Ca 0.000 0.000 6.245
Ca 2.026 3.028 2.159
Ca 2.026 3.028 6.014
Cu 0.000 3.028 0.000
Cu 2.026 0.000 4.086
Cl 0.000 3.028 4.086
Cl 2.026 0.000 0.000
```

Summary:
ΔE_f (raw): -241.1 kJ/mol of formula units
Relative energy among the computed polymorphs: 0.282 eV/atom

6.
# Ag2RuRh

Ag2RuRh at its PBEsol-relaxed geometry (SCAN, the Alexandria database).

```
16
Lattice="6.223 0.000 0.000 0.000 6.223 0.000 0.000 0.000 6.223" Properties=species:S:1:pos:R:3 pbc="T T T"
Ag 1.556 1.556 1.556
Ag 1.556 1.556 4.667
Ag 1.556 4.667 1.556
Ag 1.556 4.667 4.667
Ag 4.667 1.556 1.556
Ag 4.667 1.556 4.667
Ag 4.667 4.667 1.556
Ag 4.667 4.667 4.667
Ru 0.000 0.000 0.000
Ru 0.000 3.111 3.111
Ru 3.111 0.000 3.111
Ru 3.111 3.111 0.000
Rh 0.000 0.000 3.111
Rh 0.000 3.111 0.000
Rh 3.111 0.000 0.000
Rh 3.111 3.111 3.111
```

Summary:
Relative energy among the computed polymorphs: 0.345 eV/atom
Energy relative to the elements: 0.684 eV/atom

7.
# Te3WCl

Te3WCl at its PBEsol-relaxed geometry (SCAN, the Alexandria database).

```
5
Lattice="5.154 0.000 0.000 0.000 5.154 0.000 0.000 0.000 5.154" Properties=species:S:1:pos:R:3 pbc="T T T"
Te 0.000 0.000 2.577
Te 0.000 2.577 0.000
Te 2.577 0.000 0.000
W 2.577 2.577 2.577
Cl 0.000 0.000 0.000
```

Summary:
ΔE_f (raw): 839.3 kJ/mol of formula units

8.
# Sm2SiTeO4

Sm2SiTeO4 at its PBEsol-relaxed geometry (SCAN, the Alexandria database).

```
32
Lattice="6.215 0.000 0.000 0.000 7.071 0.000 0.000 0.000 11.038" Properties=species:S:1:pos:R:3 pbc="T T T"
Sm 0.689 1.768 0.000
Sm 0.689 1.768 5.519
Sm 2.401 3.789 2.760
Sm 2.401 6.818 8.279
Sm 3.814 0.253 2.760
Sm 3.814 3.282 8.279
Sm 5.526 5.303 0.000
Sm 5.526 5.303 5.519
Si 2.406 5.303 0.000
Si 2.406 5.303 5.519
Si 3.809 1.768 0.000
Si 3.809 1.768 5.519
Te 0.614 4.109 8.279
Te 0.614 6.497 2.760
Te 5.601 0.574 8.279
Te 5.601 2.962 2.760
O 1.421 4.054 0.402
O 1.421 4.054 5.117
O 1.421 6.552 5.921
O 1.421 6.552 10.637
O 2.780 1.652 6.813
O 2.780 1.652 9.744
O 2.780 1.883 1.294
O 2.780 1.883 4.225
O 3.436 5.188 6.813
O 3.436 5.188 9.744
O 3.436 5.418 1.294
O 3.436 5.418 4.225
O 4.794 0.518 0.402
O 4.794 0.518 5.117
O 4.794 3.017 5.921
O 4.794 3.017 10.637
```

Summary:
ΔE_f (raw): -2452.8 kJ/mol of formula units
Relative energy among the computed polymorphs: 0.000 eV/atom